Compound: As3IrSe
Source: Alexandria via LeMat-Bulk
Functional: PBE
Structure: relaxed

Formation energy without anion corrections = 1.413 eV/atom
Space group = No. 221
Total DFT energy (no corrections) = -3.85 eV/atom
Energy relative to the lowest polymorph listed for this composition = 803 meV per atom

Cell: 4.829 4.829 4.829 Å, 90.00 90.00 90.00°
Element x y z (fractional)
1 As 0.000 0.000 0.500
2 As 0.000 0.500 0.000
3 As 0.500 0.000 0.000
4 Ir 0.500 0.500 0.500
5 Se 0.000 0.000 0.000